A geometry-optimized InHF4 structure, computed with PBE.

```
InHF4
1.0
2.592 -6.494 0.000
2.592 6.494 0.000
-1.629 0.000 5.519
In H F
2 2 8
Direct
0.067 0.933 0.750
0.933 0.067 0.250
0.321 0.679 0.250
0.679 0.321 0.750
0.088 0.453 0.213
0.168 0.265 0.619
0.265 0.168 0.119
0.453 0.088 0.713
0.547 0.912 0.287
0.735 0.832 0.881
0.832 0.735 0.381
0.912 0.547 0.787
```

Properties
DOS(E_F), states/eV/cell: 0.000
E above lowest polymorph, meV per atom: 0
ρ, g/cm3: 3.429

A geometry-optimized In2HF structure, computed with PBE.

```
In2HF
1.0
0.000 3.298 3.298
3.298 0.000 3.298
3.298 3.298 0.000
In H F
2 1 1
Direct
0.250 0.250 0.250
0.750 0.750 0.750
0.000 0.000 0.000
0.500 0.500 0.500
```

Properties
DOS(E_F), states/eV/cell: 0.490
E above lowest polymorph, meV per atom: 77
ρ, g/cm3: 5.775

A geometry-optimized KInHF2 structure, computed with PBE.

```
KInHF2
1.0
4.693 0.000 0.000
0.000 4.693 0.000
0.000 0.000 3.871
K In H F
1 1 1 2
Direct
0.000 0.000 0.000
0.500 0.500 0.500
0.500 0.500 0.000
0.000 0.500 0.500
0.500 0.000 0.500
```

Properties
DOS(E_F), states/eV/cell: 1.040
Final energy, eV per atom: -3.822
ρ, g/cm3: 3.757